Here is a relaxed TlH2O crystal from Alexandria via LeMat-Bulk. Energies are from GGA-PBE.

a b c (Å): 3.843 3.843 3.843
angles (deg): 60.00 60.00 60.00
Sites, in units of the cell vectors:
1 Tl 0.000 0.000 0.000
2 H 0.250 0.250 0.250
3 H 0.750 0.750 0.750
4 O 0.500 0.500 0.500

Output
Crystal system   cubic
Symmetry   No. 225
Distance to the lowest polymorph of the same formula   1.115 eV/atom